Material: VTcIO2
Method: DFT, PBE+U
State: relaxed

POSCAR file:
```
VTcIO2
1.0
3.821 0.000 0.000
0.000 3.821 0.000
0.000 0.000 6.565
I Tc O V
1 1 2 1
Direct
0.000 0.000 0.500
0.500 0.500 0.500
0.000 0.500 0.000
0.500 0.000 0.000
0.000 0.000 0.000
```

Summary:
energy above the most stable polymorph in this dataset = 160 meV per atom
crystal system = tetragonal
SG = P4/mmm
DOS at the Fermi energy = 2.97 states/eV per cell
density = 5.33 g/cm³

=====

Material: HfV2CrO6
Method: DFT, PBE+U
State: relaxed

POSCAR file:
```
HfV2CrO6
1.0
-1.262 3.780 -3.374
-1.712 -1.229 -4.777
-5.499 0.799 -1.089
Hf V Cr O
1 2 1 6
Direct
0.313 0.312 0.063
0.514 0.514 0.457
0.019 0.019 0.942
0.819 0.818 0.544
0.608 0.219 0.258
0.219 0.915 0.258
0.915 0.608 0.258
0.436 0.708 0.745
0.708 0.111 0.745
0.111 0.436 0.745
```

Summary:
crystal system = trigonal
SG = R3
calculated total energy = -8.5866 eV per atom
density = 6.28 g/cm³